(1)
DFT (PBE) results for crystalline Sr2CaBiRh at its relaxed geometry.

Structure (POSCAR):
```
Sr2CaBiRh
1.0
5.692 0.000 0.000
0.000 5.692 0.000
0.000 0.000 5.398
Sr Bi Rh Ca
2 1 1 1
Cartesian
2.846 0.000 0.000
0.000 2.846 0.000
2.846 2.846 2.699
0.000 0.000 0.000
0.000 0.000 2.699
```

The crystal system is tetragonal. The calculation puts the final energy at -3.774 eV/atom. For the formation energy, the calculation gives -0.45 eV per atom.

***

(2)
DFT (PBE) results for crystalline CaZrBi2Rh at its relaxed geometry.

Structure (POSCAR):
```
CaZrBi2Rh
1.0
-2.569 -5.089 0.045
5.086 -2.569 -0.167
0.144 -0.029 4.833
Rh Zr Ca Bi
1 1 1 2
Cartesian
0.072 -0.015 2.416
0.000 0.000 0.000
1.331 -3.843 2.356
2.543 -1.284 -0.083
-1.284 -2.544 0.023
```

The crystal system is tetragonal. The calculation puts the final energy at -5.046 eV/atom. For the formation energy, the calculation gives 0.09 eV per atom.